# 1
Y2ZnN | GGA-PBE | relaxed

Values from the calculation:
calculated total energy = -0.479 Ry per atom
magnetization = 0.0 μB per formula unit
energy above the most stable polymorph in this dataset = 0.0 meV per atom
formation energy (no corrections) = -3.6 eV per formula unit
N(E_F) = 8.5 states/eV per cell

a = 3.5139 Å, b = 3.5139 Å, c = 22.3259 Å
α = 90.00°, β = 90.00°, γ = 120.00°
Space group R-3m (No. 166, hexagonal axes)
Inequivalent atoms, fractional coordinates:
Y (0.0000, 0.0000, 0.2278)
Zn (0.0000, 0.0000, 0.0000)
N (0.0000, 0.0000, 0.5000)

***

# 2
Y2Zn2N | GGA-PBE | relaxed

Values from the calculation:
calculated total energy = -0.331 Ry per atom
magnetization = 0.0 μB per formula unit
energy above the most stable polymorph in this dataset = 0.0 meV per atom
formation energy (no corrections) = 1.3 eV per formula unit
N(E_F) = 7.8 states/eV per cell

a = 6.593 Å, b = 6.593 Å, c = 4.488 Å
α = 90.00°, β = 90.00°, γ = 90.00°
Space group P4/mbm (No. 127)
Inequivalent atoms, fractional coordinates:
Y (0.169, 0.331, 0.000)
Zn (0.137, 0.637, 0.500)
N (0.000, 0.000, 0.500)

***

# 3
YZn3N | GGA-PBE | relaxed

Values from the calculation:
calculated total energy = -0.248 Ry per atom
magnetization = 0.0 μB per formula unit
energy above the most stable polymorph in this dataset = 0.0 meV per atom
formation energy (no corrections) = 1.7 eV per formula unit
N(E_F) = 2.5 states/eV per cell

a = 4.388 Å, b = 4.388 Å, c = 4.388 Å
α = 90.00°, β = 90.00°, γ = 90.00°
Space group Pm-3m (No. 221)
Inequivalent atoms, fractional coordinates:
Y (0.000, 0.000, 0.000)
Zn (0.000, 0.500, 0.500)
N (0.500, 0.500, 0.500)

***

# 4
YZnN3 | GGA-PBE | relaxed

Values from the calculation:
calculated total energy = -0.374 Ry per atom
magnetization = 4.2 μB per formula unit
formation energy (no corrections) = 7.2 eV per formula unit
N(E_F) = 2.0 states/eV per cell

a = 4.448 Å, b = 4.448 Å, c = 4.448 Å
α = 90.00°, β = 90.00°, γ = 90.00°
Space group Pm-3m (No. 221)
Inequivalent atoms, fractional coordinates:
Y (0.000, 0.000, 0.000)
Zn (0.500, 0.500, 0.500)
N (0.000, 0.000, 0.500)

***

# 5
Y2Zn3N4 | GGA-PBE | relaxed

Values from the calculation:
calculated total energy = -0.455 Ry per atom
magnetization = 0.0 μB per formula unit
formation energy (no corrections) = -5.6 eV per formula unit

a = 11.600 Å, b = 7.177 Å, c = 6.340 Å
α = 90.00°, β = 91.73°, γ = 90.00°
Space group C2/c (No. 15)
Inequivalent atoms, fractional coordinates:
Y (0.142, 0.128, 0.358)
Zn (0.000, 0.239, 0.750)
Zn (0.152, 0.416, 0.030)
N (0.049, 0.198, 0.024)
N (0.233, 0.421, 0.332)

***

# 6
YZn3N | GGA-PBE | relaxed

Values from the calculation:
calculated total energy = -0.126 Ry per atom
magnetization = 0.0 μB per formula unit
energy above the most stable polymorph in this dataset = 1659.2 meV per atom
formation energy (no corrections) = 10.0 eV per formula unit
N(E_F) = 13.6 states/eV per cell

a = 5.609 Å, b = 5.609 Å, c = 5.609 Å
α = 90.00°, β = 90.00°, γ = 90.00°
Space group Pm-3m (No. 221)
Inequivalent atoms, fractional coordinates:
Y (0.000, 0.000, 0.000)
Zn (0.000, 0.000, 0.500)
N (0.500, 0.500, 0.500)

***

# 7
Y2Zn2N | GGA-PBE | relaxed

Values from the calculation:
calculated total energy = -0.319 Ry per atom
magnetization = 0.0 μB per formula unit
energy above the most stable polymorph in this dataset = 162.2 meV per atom
formation energy (no corrections) = 2.1 eV per formula unit
N(E_F) = 9.6 states/eV per cell

a = 5.799 Å, b = 5.799 Å, c = 6.137 Å
α = 90.00°, β = 90.00°, γ = 90.00°
Space group I4/mmm (No. 139)
Inequivalent atoms, fractional coordinates:
Y (0.000, 0.500, 0.250)
Zn (0.000, 0.000, 0.184)
N (0.000, 0.000, 0.500)

***

# 8
Y2ZnN | GGA-PBE | relaxed

Values from the calculation:
calculated total energy = -0.466 Ry per atom
magnetization = 0.0 μB per formula unit
energy above the most stable polymorph in this dataset = 179.6 meV per atom
formation energy (no corrections) = -2.8 eV per formula unit
N(E_F) = 12.3 states/eV per cell

a = 6.705 Å, b = 6.705 Å, c = 7.974 Å
α = 90.00°, β = 90.00°, γ = 90.00°
Space group I-42d (No. 122)
Inequivalent atoms, fractional coordinates:
Y (0.168, 0.250, 0.125)
Zn (0.000, 0.000, 0.500)
N (0.000, 0.000, 0.000)

***

# 9
Y2ZnN | GGA-PBE | relaxed

Values from the calculation:
calculated total energy = -0.404 Ry per atom
magnetization = 0.0 μB per formula unit
energy above the most stable polymorph in this dataset = 1021.7 meV per atom
formation energy (no corrections) = 0.5 eV per formula unit
N(E_F) = 20.6 states/eV per cell

a = 6.709 Å, b = 6.709 Å, c = 6.709 Å
α = 90.00°, β = 90.00°, γ = 90.00°
Space group Fm-3m (No. 225)
Inequivalent atoms, fractional coordinates:
Y (0.250, 0.250, 0.250)
Zn (0.000, 0.000, 0.000)
N (0.000, 0.000, 0.500)

***

# 10
YZnN3 | GGA-PBE | relaxed

Values from the calculation:
calculated total energy = -0.438 Ry per atom
magnetization = 0.0 μB per formula unit
formation energy (no corrections) = 2.9 eV per formula unit
N(E_F) = 3.5 states/eV per cell

a = 3.855 Å, b = 3.855 Å, c = 3.855 Å
α = 90.00°, β = 90.00°, γ = 90.00°
Space group Pm-3m (No. 221)
Inequivalent atoms, fractional coordinates:
Y (0.000, 0.000, 0.000)
Zn (0.500, 0.500, 0.500)
N (0.000, 0.500, 0.500)

***

# 11
YZr2ZnN | GGA-PBE | relaxed

Values from the calculation:
calculated total energy = -0.544 Ry per atom
magnetization = 0.0 μB per formula unit
formation energy (no corrections) = -3.9 eV per formula unit
N(E_F) = 3.1 states/eV per cell

a = 4.484 Å, b = 4.484 Å, c = 4.728 Å
α = 90.00°, β = 90.00°, γ = 90.00°
Space group P4/mmm (No. 123)
Inequivalent atoms, fractional coordinates:
Y (0.000, 0.000, 0.000)
Zr (0.000, 0.500, 0.500)
Zn (0.500, 0.500, 0.000)
N (0.000, 0.000, 0.500)

***

# 12
Y2ZrZnN | GGA-PBE | relaxed

Values from the calculation:
calculated total energy = -0.514 Ry per atom
magnetization = 0.0 μB per formula unit
formation energy (no corrections) = -3.9 eV per formula unit
N(E_F) = 2.4 states/eV per cell

a = 4.756 Å, b = 4.756 Å, c = 4.506 Å
α = 90.00°, β = 90.00°, γ = 90.00°
Space group P4/mmm (No. 123)
Inequivalent atoms, fractional coordinates:
Y (0.000, 0.500, 0.000)
Zr (0.000, 0.000, 0.500)
Zn (0.500, 0.500, 0.500)
N (0.000, 0.000, 0.000)

***

# 13
YZr3N4 | GGA-PBE | relaxed

Values from the calculation:
calculated total energy = -0.723 Ry per atom
magnetization = 0.0 μB per formula unit
energy above the most stable polymorph in this dataset = 21.8 meV per atom
formation energy (no corrections) = -13.3 eV per formula unit
N(E_F) = 2.1 states/eV per cell

a = 4.681 Å, b = 4.681 Å, c = 4.681 Å
α = 90.00°, β = 90.00°, γ = 90.00°
Space group Pm-3m (No. 221)
Inequivalent atoms, fractional coordinates:
Y (0.000, 0.000, 0.000)
Zr (0.000, 0.500, 0.500)
N (0.000, 0.000, 0.500)
N (0.500, 0.500, 0.500)

***

# 14
YZrN2 | GGA-PBE | relaxed

Values from the calculation:
calculated total energy = -0.685 Ry per atom
magnetization = 0.0 μB per formula unit
formation energy (no corrections) = -5.6 eV per formula unit
N(E_F) = 7.8 states/eV per cell

a = 5.165 Å, b = 5.165 Å, c = 10.188 Å
α = 90.00°, β = 90.00°, γ = 90.00°
Space group I-42d (No. 122)
Inequivalent atoms, fractional coordinates:
Y (0.000, 0.000, 0.000)
Zr (0.000, 0.000, 0.500)
N (0.222, 0.250, 0.625)

***

# 15
YZr3N | GGA-PBE | relaxed

Values from the calculation:
calculated total energy = -0.412 Ry per atom
magnetization = 0.0 μB per formula unit
energy above the most stable polymorph in this dataset = 3066.0 meV per atom
formation energy (no corrections) = 12.4 eV per formula unit
N(E_F) = 9.1 states/eV per cell

a = 5.150 Å, b = 5.150 Å, c = 5.150 Å
α = 90.00°, β = 90.00°, γ = 90.00°
Space group Pm-3m (No. 221)
Inequivalent atoms, fractional coordinates:
Y (0.000, 0.000, 0.000)
Zr (0.000, 0.000, 0.500)
N (0.500, 0.500, 0.500)

***

# 16
Y3ZrN4 | GGA-PBE | relaxed

Values from the calculation:
calculated total energy = -0.689 Ry per atom
magnetization = 0.0 μB per formula unit
formation energy (no corrections) = -13.7 eV per formula unit
N(E_F) = 2.3 states/eV per cell

a = 6.843 Å, b = 9.641 Å, c = 3.408 Å
α = 90.00°, β = 90.00°, γ = 90.00°
Space group Cmmm (No. 65)
Inequivalent atoms, fractional coordinates:
Y (0.000, 0.000, 0.000)
Y (0.250, 0.250, 0.500)
Zr (0.000, 0.500, 0.000)
N (0.000, 0.258, 0.000)
N (0.237, 0.500, 0.500)

***

# 17
Y3ZrN | GGA-PBE | relaxed

Values from the calculation:
calculated total energy = -0.568 Ry per atom
magnetization = 1.9 μB per formula unit
energy above the most stable polymorph in this dataset = 0.0 meV per atom
formation energy (no corrections) = -2.4 eV per formula unit
N(E_F) = 7.4 states/eV per cell

a = 4.893 Å, b = 4.893 Å, c = 4.893 Å
α = 90.00°, β = 90.00°, γ = 90.00°
Space group Pm-3m (No. 221)
Inequivalent atoms, fractional coordinates:
Y (0.000, 0.000, 0.500)
Zr (0.500, 0.500, 0.500)
N (0.000, 0.000, 0.000)

***

# 18
YZrN3 | GGA-PBE | relaxed

Values from the calculation:
calculated total energy = -0.541 Ry per atom
magnetization = 0.0 μB per formula unit
formation energy (no corrections) = 3.2 eV per formula unit
N(E_F) = 2.8 states/eV per cell

a = 4.179 Å, b = 4.179 Å, c = 4.179 Å
α = 90.00°, β = 90.00°, γ = 90.00°
Space group Pm-3m (No. 221)
Inequivalent atoms, fractional coordinates:
Y (0.000, 0.000, 0.000)
Zr (0.500, 0.500, 0.500)
N (0.000, 0.000, 0.500)

***

# 19
YZr2N | GGA-PBE | relaxed

Values from the calculation:
calculated total energy = -0.634 Ry per atom
magnetization = 0.0 μB per formula unit
formation energy (no corrections) = -2.6 eV per formula unit
N(E_F) = 7.3 states/eV per cell

a = 3.3019 Å, b = 3.3019 Å, c = 26.3513 Å
α = 90.00°, β = 90.00°, γ = 120.00°
Space group R-3m (No. 166, hexagonal axes)
Inequivalent atoms, fractional coordinates:
Y (0.0000, 0.0000, 0.0000)
Zr (0.0000, 0.0000, 0.1200)
N (0.0000, 0.0000, 0.5000)

***

# 20
YZr3N4 | GGA-PBE | relaxed

Values from the calculation:
calculated total energy = -0.725 Ry per atom
magnetization = 0.0 μB per formula unit
energy above the most stable polymorph in this dataset = 0.0 meV per atom
formation energy (no corrections) = -13.5 eV per formula unit
N(E_F) = 2.4 states/eV per cell

a = 6.645 Å, b = 9.353 Å, c = 3.299 Å
α = 90.00°, β = 90.00°, γ = 90.00°
Space group Cmmm (No. 65)
Inequivalent atoms, fractional coordinates:
Y (0.000, 0.000, 0.000)
Zr (0.000, 0.500, 0.000)
Zr (0.250, 0.250, 0.500)
N (0.000, 0.255, 0.000)
N (0.239, 0.500, 0.500)

***

# 21
YZrN3 | GGA-PBE | relaxed

Values from the calculation:
calculated total energy = -0.620 Ry per atom
magnetization = 0.2 μB per formula unit
formation energy (no corrections) = -2.2 eV per formula unit
N(E_F) = 4.5 states/eV per cell

a = 4.156 Å, b = 4.156 Å, c = 4.156 Å
α = 90.00°, β = 90.00°, γ = 90.00°
Space group Pm-3m (No. 221)
Inequivalent atoms, fractional coordinates:
Y (0.000, 0.000, 0.000)
Zr (0.500, 0.500, 0.500)
N (0.000, 0.500, 0.500)

***

# 22
Y5Zr3N8 | GGA-PBE | relaxed

Values from the calculation:
calculated total energy = -0.698 Ry per atom
magnetization = 0.0 μB per formula unit
formation energy (no corrections) = -27.5 eV per formula unit
N(E_F) = 6.9 states/eV per cell

a = 6.7565 Å, b = 6.7565 Å, c = 16.6410 Å
α = 90.00°, β = 90.00°, γ = 120.00°
Space group R-3m (No. 166, hexagonal axes)
Inequivalent atoms, fractional coordinates:
Y (0.0000, 0.0000, 0.0000)
Y (0.0000, 0.0000, 0.5000)
Y (0.0000, 0.5000, 0.0000)
Zr (0.0000, 0.5000, 0.5000)
N (0.0000, 0.0000, 0.2441)
N (0.0092, 0.5046, 0.7546)

***

# 23
YZr2N | GGA-PBE | relaxed

Values from the calculation:
calculated total energy = -0.617 Ry per atom
magnetization = 0.0 μB per formula unit
formation energy (no corrections) = -1.7 eV per formula unit
N(E_F) = 4.6 states/eV per cell

a = 6.661 Å, b = 6.661 Å, c = 8.983 Å
α = 90.00°, β = 90.00°, γ = 90.00°
Space group I-42d (No. 122)
Inequivalent atoms, fractional coordinates:
Y (0.000, 0.000, 0.000)
Zr (0.077, 0.750, 0.625)
N (0.000, 0.000, 0.500)

***

# 24
Y4ZrN5 | GGA-PBE | relaxed

Values from the calculation:
calculated total energy = -0.684 Ry per atom
magnetization = 0.0 μB per formula unit
formation energy (no corrections) = -17.1 eV per formula unit
N(E_F) = 3.9 states/eV per cell

a = 7.656 Å, b = 7.656 Å, c = 4.851 Å
α = 90.00°, β = 90.00°, γ = 90.00°
Space group I4/m (No. 87)
Inequivalent atoms, fractional coordinates:
Y (0.100, 0.299, 0.000)
Zr (0.000, 0.000, 0.500)
N (0.000, 0.000, 0.000)
N (0.096, 0.287, 0.500)

***

# 25
YZrN2 | GGA-PBE | relaxed

Values from the calculation:
calculated total energy = -0.632 Ry per atom
magnetization = 0.0 μB per formula unit
formation energy (no corrections) = -2.7 eV per formula unit
N(E_F) = 6.7 states/eV per cell

a = 5.849 Å, b = 5.849 Å, c = 5.849 Å
α = 90.00°, β = 90.00°, γ = 90.00°
Space group Fm-3m (No. 225)
Inequivalent atoms, fractional coordinates:
Y (0.000, 0.000, 0.000)
Zr (0.000, 0.000, 0.500)
N (0.250, 0.250, 0.250)

***

# 26
Y2Zr2N3 | GGA-PBE | relaxed

Values from the calculation:
calculated total energy = -0.686 Ry per atom
magnetization = 0.0 μB per formula unit
formation energy (no corrections) = -10.3 eV per formula unit
N(E_F) = 2.6 states/eV per cell

a = 3.416 Å, b = 5.789 Å, c = 6.004 Å
α = 75.73°, β = 73.50°, γ = 90.00°
Space group P-1 (No. 2)
Inequivalent atoms, fractional coordinates:
Y (0.121, 0.358, 0.260)
Zr (0.359, 0.148, 0.781)
N (0.249, 0.758, 0.001)
N (0.500, 0.500, 0.500)